Record 1
# La2CrP4Ir3 PBE relaxed
data_La2CrP4Ir3
_chemical_formula_sum 'La2 Cr1 P4 Ir3'
_cell_length_a 4.226
_cell_length_b 4.226
_cell_length_c 9.676
_cell_angle_alpha 90.00
_cell_angle_beta 90.00
_cell_angle_gamma 90.00
_symmetry_space_group_name_H-M 'P -4 m 2'
_symmetry_Int_Tables_number 115
_symmetry_space_group_name_Hall 'P -4 -2'
loop_
_atom_site_label
_atom_site_fract_x
_atom_site_fract_y
_atom_site_fract_z
La1 0.000 0.500 0.239
Cr1 0.000 0.000 0.500
P1 0.000 0.000 0.000
P2 0.000 0.500 0.634
P3 0.500 0.500 0.000
Ir1 0.000 0.500 0.889
Ir2 0.500 0.500 0.500
# Electronic total energy, eV per formula unit: -77.59
# Crystal system: tetragonal
# N(E_F), states/eV/f.u.: 4.24
# Total moment, μB per cell: 2.42

Record 2
# TaMn2Be PBE relaxed
data_TaMn2Be
_chemical_formula_sum 'Ta1 Mn2 Be1'
_cell_length_a 2.761
_cell_length_b 2.761
_cell_length_c 6.297
_cell_angle_alpha 90.00
_cell_angle_beta 90.00
_cell_angle_gamma 90.00
_symmetry_space_group_name_H-M 'P 4 m m'
_symmetry_Int_Tables_number 99
_symmetry_space_group_name_Hall 'P 4 -2'
loop_
_atom_site_label
_atom_site_fract_x
_atom_site_fract_y
_atom_site_fract_z
Ta1 0.000 0.000 0.000
Mn1 0.000 0.000 0.482
Mn2 0.500 0.500 0.674
Be1 0.500 0.500 0.279
# Electronic total energy, eV per formula unit: -34.09
# Crystal system: tetragonal
# N(E_F), states/eV/f.u.: 3.60
# Total moment, μB per cell: 0.00

Record 3
# CeTm2Ru PBE relaxed
data_CeTm2Ru
_chemical_formula_sum 'Ce2 Tm4 Ru2'
_cell_length_a 3.764
_cell_length_b 9.339
_cell_length_c 6.213
_cell_angle_alpha 90.00
_cell_angle_beta 107.62
_cell_angle_gamma 90.00
_symmetry_space_group_name_H-M 'P 1 21/m 1'
_symmetry_Int_Tables_number 11
_symmetry_space_group_name_Hall '-P 2yb'
loop_
_atom_site_label
_atom_site_fract_x
_atom_site_fract_y
_atom_site_fract_z
Ce1 0.079 0.250 0.159
Tm1 0.357 0.069 0.714
Ru1 0.268 0.750 0.537
# Electronic total energy, eV per formula unit: -25.39
# Relative energy among the computed polymorphs, meV/atom: 38
# Crystal system: monoclinic
# N(E_F), states/eV/f.u.: 6.77
# Total moment, μB per cell: 0.86

Record 4
# CaTlF2 PBE relaxed
data_CaTlF2
_chemical_formula_sum 'Ca4 Tl4 F8'
_cell_length_a 6.192
_cell_length_b 6.192
_cell_length_c 11.102
_cell_angle_alpha 90.00
_cell_angle_beta 90.00
_cell_angle_gamma 90.00
_symmetry_space_group_name_H-M 'I -4 2 d'
_symmetry_Int_Tables_number 122
_symmetry_space_group_name_Hall 'I -4 2bw'
loop_
_atom_site_label
_atom_site_fract_x
_atom_site_fract_y
_atom_site_fract_z
Ca1 0.000 0.000 0.000
Tl1 0.000 0.000 0.500
F1 0.098 0.250 0.125
# Electronic total energy, eV per formula unit: -18.12
# Relative energy among the computed polymorphs, meV/atom: 256
# Crystal system: tetragonal
# Formation energy without anion corrections, kJ/mol of atoms: -241
# N(E_F), states/eV/f.u.: 2.30
# Total moment, μB per cell: 1.83

Record 5
# Li5CdAu3 PBE relaxed
data_Li5CdAu3
_chemical_formula_sum 'Li10 Cd2 Au6'
_cell_length_a 7.8664
_cell_length_b 7.8664
_cell_length_c 5.5742
_cell_angle_alpha 90.00
_cell_angle_beta 90.00
_cell_angle_gamma 120.00
_symmetry_space_group_name_H-M 'P 63/m c m'
_symmetry_Int_Tables_number 193
_symmetry_space_group_name_Hall '-P 6c 2'
loop_
_atom_site_label
_atom_site_fract_x
_atom_site_fract_y
_atom_site_fract_z
Li1 0.0000 0.3230 0.2500
Li2 0.3333 0.6667 0.0000
Cd1 0.0000 0.0000 0.0000
Au1 0.0000 0.3519 0.7500
# Electronic total energy, eV per formula unit: -24.19
# Crystal system: hexagonal
# N(E_F), states/eV/f.u.: 2.74
# Total moment, μB per cell: 0.00

Record 6
# CaSnPt PBE relaxed
data_CaSnPt
_chemical_formula_sum 'Ca6 Sn6 Pt6'
_cell_length_a 7.520
_cell_length_b 4.386
_cell_length_c 12.464
_cell_angle_alpha 90.00
_cell_angle_beta 91.00
_cell_angle_gamma 90.00
_symmetry_space_group_name_H-M 'P 1 21/m 1'
_symmetry_Int_Tables_number 11
_symmetry_space_group_name_Hall '-P 2yb'
loop_
_atom_site_label
_atom_site_fract_x
_atom_site_fract_y
_atom_site_fract_z
Ca1 0.018 0.250 0.124
Ca2 0.142 0.250 0.421
Ca3 0.479 0.750 0.795
Sn1 0.141 0.250 0.708
Sn2 0.336 0.750 0.045
Sn3 0.480 0.750 0.409
Pt1 0.221 0.750 0.253
Pt2 0.277 0.750 0.594
Pt3 0.282 0.250 0.921
# Electronic total energy, eV per formula unit: -14.72
# Crystal system: monoclinic
# N(E_F), states/eV/f.u.: 1.25
# Total moment, μB per cell: 0.00

Record 7
# Sc6Te2C PBE relaxed
data_Sc6Te2C
_chemical_formula_sum 'Sc12 Te4 C2'
_cell_length_a 6.021
_cell_length_b 7.150
_cell_length_c 10.630
_cell_angle_alpha 90.00
_cell_angle_beta 121.70
_cell_angle_gamma 90.00
_symmetry_space_group_name_H-M 'P 1 21/c 1'
_symmetry_Int_Tables_number 14
_symmetry_space_group_name_Hall '-P 2ybc'
loop_
_atom_site_label
_atom_site_fract_x
_atom_site_fract_y
_atom_site_fract_z
Sc1 0.135 0.021 0.247
Sc2 0.180 0.708 0.038
Sc3 0.356 0.168 0.033
Te1 0.323 0.105 0.746
C1 0.000 0.000 0.000
# Electronic total energy, eV per formula unit: -59.36
# Crystal system: monoclinic
# Formation energy without anion corrections, kJ/mol of atoms: -63
# N(E_F), states/eV/f.u.: 9.81
# Total moment, μB per cell: 0.00

Record 8
# TlC2N PBE relaxed
data_TlC2N
_chemical_formula_sum 'Tl4 C8 N4'
_cell_length_a 4.784
_cell_length_b 4.784
_cell_length_c 7.491
_cell_angle_alpha 90.00
_cell_angle_beta 90.00
_cell_angle_gamma 90.00
_symmetry_space_group_name_H-M 'I -4 2 d'
_symmetry_Int_Tables_number 122
_symmetry_space_group_name_Hall 'I -4 2bw'
loop_
_atom_site_label
_atom_site_fract_x
_atom_site_fract_y
_atom_site_fract_z
Tl1 0.000 0.000 0.000
C1 0.137 0.250 0.625
N1 0.000 0.000 0.500
# Electronic total energy, eV per formula unit: -20.89
# Relative energy among the computed polymorphs, meV/atom: 0
# Crystal system: tetragonal
# Formation energy without anion corrections, kJ/mol of atoms: 199
# N(E_F), states/eV/f.u.: 0.00
# Total moment, μB per cell: 0.00

Record 9
# Y2MgZrC PBE relaxed
data_Y2MgZrC
_chemical_formula_sum 'Y2 Mg1 Zr1 C1'
_cell_length_a 4.999
_cell_length_b 4.999
_cell_length_c 4.592
_cell_angle_alpha 90.00
_cell_angle_beta 90.00
_cell_angle_gamma 90.00
_symmetry_space_group_name_H-M 'P 4/m m m'
_symmetry_Int_Tables_number 123
_symmetry_space_group_name_Hall '-P 4 2'
loop_
_atom_site_label
_atom_site_fract_x
_atom_site_fract_y
_atom_site_fract_z
Y1 0.000 0.500 0.000
Mg1 0.000 0.000 0.500
Zr1 0.500 0.500 0.500
C1 0.500 0.500 0.000
# Electronic total energy, eV per formula unit: -33.40
# Crystal system: tetragonal
# N(E_F), states/eV/f.u.: 4.59
# Total moment, μB per cell: 0.00

Record 10
# AsAuSe2 PBE relaxed
data_AsAuSe2
_chemical_formula_sum 'As1 Au1 Se2'
_cell_length_a 5.379
_cell_length_b 2.742
_cell_length_c 5.558
_cell_angle_alpha 90.00
_cell_angle_beta 90.08
_cell_angle_gamma 90.00
_symmetry_space_group_name_H-M 'P 1 2/m 1'
_symmetry_Int_Tables_number 10
_symmetry_space_group_name_Hall '-P 2y'
loop_
_atom_site_label
_atom_site_fract_x
_atom_site_fract_y
_atom_site_fract_z
As1 0.000 0.000 0.000
Au1 0.000 0.500 0.500
Se1 0.500 0.000 0.500
Se2 0.500 0.500 0.000
# Electronic total energy, eV per formula unit: -13.02
# Crystal system: monoclinic
# Formation energy without anion corrections, kJ/mol of atoms: 45
# N(E_F), states/eV/f.u.: 2.42
# Total moment, μB per cell: 0.00

Record 11
# AgPd PBE relaxed
data_AgPd
_chemical_formula_sum 'Ag4 Pd4'
_cell_length_a 5.384
_cell_length_b 5.384
_cell_length_c 5.384
_cell_angle_alpha 90.00
_cell_angle_beta 90.00
_cell_angle_gamma 90.00
_symmetry_space_group_name_H-M 'F m -3 m'
_symmetry_Int_Tables_number 225
_symmetry_space_group_name_Hall '-F 4 2 3'
loop_
_atom_site_label
_atom_site_fract_x
_atom_site_fract_y
_atom_site_fract_z
Ag1 0.000 0.000 0.000
Pd1 0.000 0.000 0.500
# Electronic total energy, eV per formula unit: -7.08
# Crystal system: cubic
# N(E_F), states/eV/f.u.: 1.80
# Total moment, μB per cell: 0.00

Record 12
# Ba6PPb2 PBE relaxed
data_Ba6PPb2
_chemical_formula_sum 'Ba12 P2 Pb4'
_cell_length_a 7.960
_cell_length_b 10.728
_cell_length_c 11.456
_cell_angle_alpha 90.00
_cell_angle_beta 120.71
_cell_angle_gamma 90.00
_symmetry_space_group_name_H-M 'P 1 21/c 1'
_symmetry_Int_Tables_number 14
_symmetry_space_group_name_Hall '-P 2ybc'
loop_
_atom_site_label
_atom_site_fract_x
_atom_site_fract_y
_atom_site_fract_z
Ba1 0.125 0.126 0.456
Ba2 0.311 0.731 0.434
Ba3 0.323 0.050 0.192
P1 0.500 0.000 0.500
Pb1 0.199 0.104 0.801
# Electronic total energy, eV per formula unit: -29.46
# Crystal system: monoclinic
# N(E_F), states/eV/f.u.: 4.56
# Total moment, μB per cell: 1.72

Among the records above, which one has the lowest electronic total energy?
La2CrP4Ir3

Copy entry 7 word for word.
# Sc6Te2C PBE relaxed
data_Sc6Te2C
_chemical_formula_sum 'Sc12 Te4 C2'
_cell_length_a 6.021
_cell_length_b 7.150
_cell_length_c 10.630
_cell_angle_alpha 90.00
_cell_angle_beta 121.70
_cell_angle_gamma 90.00
_symmetry_space_group_name_H-M 'P 1 21/c 1'
_symmetry_Int_Tables_number 14
_symmetry_space_group_name_Hall '-P 2ybc'
loop_
_atom_site_label
_atom_site_fract_x
_atom_site_fract_y
_atom_site_fract_z
Sc1 0.135 0.021 0.247
Sc2 0.180 0.708 0.038
Sc3 0.356 0.168 0.033
Te1 0.323 0.105 0.746
C1 0.000 0.000 0.000
# Electronic total energy, eV per formula unit: -59.36
# Crystal system: monoclinic
# Formation energy without anion corrections, kJ/mol of atoms: -63
# N(E_F), states/eV/f.u.: 9.81
# Total moment, μB per cell: 0.00

What is the electronic total energy in the second record?
-34.09 eV per formula unit